LuMgAg | GGA-PBE | optimized geometry

E_tot	-7.65	eV per cell
magnetization	0.00	Bohr magnetons per cell

Unit cell a=4.8592 b=4.8592 c=4.8592 alpha=60.00 beta=60.00 gamma=60.00
Sites, in units of the cell vectors:
Ag1 0.2500 0.2500 0.2500
Lu1 0.0000 0.0000 0.0000
Mg1 0.7500 0.7500 0.7500